The following is a DFT calculation (SCAN) of a PBEsol-optimized structure of CaCo2AgAu.

## Properties
formation enthalpy at 0 K = 1.660 eV per atom
calculated density = 8.4 g/cm3
total energy = -136.50 eV/cell

Lattice parameters (Å, degrees): 4.3142 4.3142 4.9018 90.00 90.00 90.00
Closest atoms and distances in Å follow each position.
Positions (direct):
Co 0.0000 0.5000 0.0000  2 Ca 2.16
Co 0.5000 0.0000 0.0000  2 Ca 2.16
Ca 0.0000 0.0000 0.0000  4 Co 2.16
Au 0.5000 0.5000 0.5000  4 Ag 3.05, 8 Co 3.26
Ag 0.0000 0.0000 0.5000  2 Ca 2.45


The following is a DFT calculation (SCAN) of a PBEsol-optimized structure of Co2HgRh.

## Properties
formation enthalpy at 0 K = 0.307 eV per atom
calculated density = 13.0 g/cm3
total energy = -135.32 eV/cell

Lattice parameters (Å, degrees): 2.7456 4.5371 4.5371 107.24 90.00 90.00
Closest atoms and distances in Å follow each position.
Positions (direct):
Co 0.0000 0.5000 0.0000  4 Hg 2.65, 4 Rh 2.65, 4 Co 2.69-2.75
Co 0.0000 0.0000 0.5000  4 Rh 2.65, 4 Hg 2.65, 4 Co 2.69-2.75
Rh 0.5000 0.5000 0.5000  8 Co 2.65, 2 Hg 2.69, 2 Rh 2.75
Hg 0.5000 0.0000 0.0000  8 Co 2.65, 2 Rh 2.69, 2 Hg 2.75


The following is a DFT calculation (SCAN) of a PBEsol-optimized structure of Ca3Si8P14.

## Properties
calculated density = 2.6 g/cm3
energy relative to the elements, uncorrected = -0.47 eV per atom
total energy = -533.13 eV/cell

Lattice parameters (Å, degrees): 6.1867 12.0630 13.3300 90.00 90.00 91.20
Closest atoms and distances in Å follow each position.
Positions (direct):
Ca 0.5000 0.5000 0.5000  8 P 2.89-3.09
Ca 0.0000 0.5000 0.0000  8 P 2.89-3.09
Ca 0.3170 0.8339 0.6599  6 P 2.90-3.22
Ca 0.1830 0.1661 0.1599  6 P 2.90-3.22
Ca 0.6830 0.1661 0.3401  6 P 2.90-3.22
Ca 0.8170 0.8339 0.8401  6 P 2.90-3.22
Si 0.0361 0.4135 0.3121  3 P 2.23-2.24, 1 Si 2.36
Si 0.4639 0.5865 0.8121  3 P 2.23-2.24, 1 Si 2.36
Si 0.9639 0.5865 0.6879  3 P 2.23-2.24, 1 Si 2.36
Si 0.5361 0.4135 0.1879  3 P 2.23-2.24, 1 Si 2.36
Si 0.0440 0.6095 0.3133  3 P 2.25-2.26, 1 Si 2.36
Si 0.4560 0.3905 0.8133  3 P 2.25-2.26, 1 Si 2.36
Si 0.9560 0.3905 0.6867  3 P 2.25-2.26, 1 Si 2.36
Si 0.5440 0.6095 0.1867  3 P 2.25-2.26, 1 Si 2.36
Si 0.3838 0.8495 0.3131  4 P 2.24-2.27
Si 0.1162 0.1505 0.8131  4 P 2.24-2.27
Si 0.6162 0.1505 0.6869  4 P 2.24-2.27
Si 0.8838 0.8495 0.1869  4 P 2.24-2.27
Si 0.3819 0.8455 0.0444  4 P 2.25-2.28
Si 0.1181 0.1545 0.5444  4 P 2.25-2.28
Si 0.6181 0.1545 0.9556  4 P 2.25-2.28
Si 0.8819 0.8455 0.4556  4 P 2.25-2.28
P 0.3674 0.6590 0.0466  1 P 2.19, 2 Si 2.25
P 0.1326 0.3410 0.5466  1 P 2.19, 2 Si 2.25
P 0.6326 0.3410 0.9534  1 P 2.19, 2 Si 2.25
P 0.8674 0.6590 0.4534  1 P 2.19, 2 Si 2.25
P 0.2251 0.9188 0.4499  1 P 2.23, 2 Si 2.24-2.28
P 0.2749 0.0812 0.9499  1 P 2.23, 2 Si 2.24-2.28
P 0.7749 0.0812 0.5501  1 P 2.23, 2 Si 2.24-2.28
P 0.7251 0.9188 0.0501  1 P 2.23, 2 Si 2.24-2.28
P 0.3521 0.3575 0.0518  1 P 2.19, 1 Si 2.24
P 0.1479 0.6425 0.5518  1 P 2.19, 1 Si 2.24
P 0.6479 0.6425 0.9482  1 P 2.19, 1 Si 2.24
P 0.8521 0.3575 0.4482  1 P 2.19, 1 Si 2.24
P 0.2862 0.9082 0.8914  1 P 2.23, 1 Si 2.26
P 0.2138 0.0918 0.3914  1 P 2.23, 1 Si 2.26
P 0.7138 0.0918 0.1086  1 P 2.23, 1 Si 2.26
P 0.7862 0.9082 0.6086  1 P 2.23, 1 Si 2.26
P 0.2189 0.9265 0.1786  3 Si 2.26-2.28
P 0.2811 0.0735 0.6786  3 Si 2.26-2.28
P 0.7811 0.0735 0.8214  3 Si 2.26-2.28
P 0.7189 0.9265 0.3214  3 Si 2.26-2.28
P 0.3930 0.6653 0.3310  3 Si 2.24-2.26
P 0.1070 0.3347 0.8310  3 Si 2.24-2.26
P 0.6070 0.3347 0.6690  3 Si 2.24-2.26
P 0.8930 0.6653 0.1690  3 Si 2.24-2.26
P 0.3721 0.3494 0.3257  2 Si 2.23-2.24
P 0.1279 0.6506 0.8257  2 Si 2.23-2.24
P 0.6279 0.6506 0.6743  2 Si 2.23-2.24
P 0.8721 0.3494 0.1743  2 Si 2.23-2.24


The following is a DFT calculation (SCAN) of a PBEsol-optimized structure of MgTa2Ni.

## Properties
formation enthalpy at 0 K = 0.122 eV per atom
calculated density = 11.3 g/cm3
total energy = -153.83 eV/cell

Lattice parameters (Å, degrees): 2.9243 3.4382 6.4849 90.00 90.00 90.00
Closest atoms and distances in Å follow each position.
Positions (direct):
Mg 0.0000 0.0000 0.5299  4 Ni 2.72, 5 Ta 2.88-2.97, 2 Mg 2.92
Ni 0.5000 0.5000 0.7639  4 Ta 2.64, 4 Mg 2.72, 2 Ni 2.92
Ta 0.0000 0.0000 0.9745  4 Ni 2.64, 6 Ta 2.81-2.92, 1 Mg 2.88
Ta 0.5000 0.5000 0.2317  6 Ta 2.81-2.92, 4 Mg 2.97, 1 Ni 3.03